First-principles (PBE-GGA) data for a relaxed ErGa4Co2 crystal, as listed in the Alexandria database.

Computed properties:
* DFT formation energy: -394.9 meV/atom

a b c (Å): 16.745 4.123 6.354
angles (deg): 90.00 90.00 90.00
Space group Pnma (No. 62)
Unique sites:
Er  0.140  0.250  0.015
Ga  0.032  0.750  0.844
Ga  0.071  0.250  0.503
Ga  0.186  0.750  0.317
Ga  0.194  0.750  0.723
Co  0.039  0.750  0.244
Co  0.216  0.250  0.523

First-principles (PBE-GGA) data for a relaxed Hg2SbAs crystal, as listed in the Alexandria database.

Computed properties:
* formation energy (no corrections): 0.24 eV/atom
* energy relative to the lowest polymorph listed for this composition: 19.9 kJ per mole of atoms

a b c (Å): 4.067 4.067 6.626
angles (deg): 90.00 90.00 90.00
Space group P4/mmm (No. 123)
Unique sites:
Hg  0.000  0.500  0.000
Sb  0.000  0.000  0.500
As  0.500  0.500  0.500

First-principles (PBE-GGA) data for a relaxed PrSiO2 crystal, as listed in the Alexandria database.

Computed properties:
* formation energy (no corrections): -1.31 eV/atom

a b c (Å): 2.9762 2.9762 21.8912
angles (deg): 90.00 90.00 120.00
Space group R-3m (No. 166, hexagonal axes)
Unique sites:
Pr  0.0000  0.0000  0.0000
Si  0.0000  0.0000  0.5000
O  0.0000  0.0000  0.1270

First-principles (PBE-GGA) data for a relaxed NaHgTe2 crystal, as listed in the Alexandria database.

Computed properties:
* formation energy (no corrections): 0.00 eV/atom

a b c (Å): 3.3807 3.3807 39.1807
angles (deg): 90.00 90.00 120.00
Space group R-3m (No. 166, hexagonal axes)
Unique sites:
Na  0.0000  0.0000  0.0000
Hg  0.0000  0.0000  0.5000
Te  0.0000  0.0000  0.0748

Magnetic moment across the listed records, respectively: 0.0; 0.0; 0.0; 0.0 μB per formula unit.